1.
La6Si3Ni2 | PBEsol | relaxed

Crystal system: monoclinic
Symmetry: No. 6
Formation energy without anion corrections, eV per atom: -0.500

Cell and atoms, written as POSCAR:
```
La6Si3Ni2
1.0
-4.2987 1.2536 -0.6305
-3.0813 -5.7238 9.6285
3.1686 11.2585 0.7817
Ni Si La
4 6 12
Cartesian
1.8230 7.9291 3.3365
0.6165 5.1105 5.9584
-3.1545 6.3719 9.8968
-1.0166 5.7485 10.2103
0.8770 3.9917 1.9570
1.1194 5.7139 3.7287
-3.8669 -1.7117 6.7457
-3.1451 0.5695 6.3604
-2.9689 2.1011 8.2046
-2.5967 1.3296 4.1324
-0.3602 1.9513 6.3363
-2.3568 -4.3595 7.4010
0.2624 10.4044 2.6824
-0.6564 2.8859 10.2140
-1.4768 -0.7386 8.6010
-2.0318 5.0119 7.6028
-0.8313 7.7619 4.8852
-0.6213 6.7194 1.3806
-1.4751 3.1164 0.0378
-1.1597 -1.4248 5.0743
-0.0439 1.0771 2.4408
-1.6810 4.3788 3.9520
```

***

2.
SbBr2Cl | PBEsol | relaxed

Crystal system: orthorhombic
Symmetry: No. 65
Formation energy without anion corrections, eV per atom: -0.633
E above lowest polymorph, eV per atom: 0.000

Cell and atoms, written as POSCAR:
```
SbBr2Cl
1.0
3.9894 0.0000 0.0000
0.0000 5.2591 -0.0408
0.0000 -2.5770 6.9791
Sb Br Cl
1 2 1
Cartesian
1.9947 1.3410 3.4692
0.0000 1.3545 5.4389
0.0000 1.3276 1.4995
1.9947 -1.2885 3.4896
```

***

3.
Ba2MgRe | PBEsol | relaxed

Crystal system: cubic
Symmetry: No. 216
Formation energy, meV/atom: 969

Cell and atoms, written as POSCAR:
```
Ba2MgRe
1.0
5.3301 0.0000 0.0000
2.6650 4.6160 0.0000
2.6650 1.5387 4.3520
Re Mg Ba
1 1 2
Cartesian
2.6650 1.5387 1.0880
5.3301 3.0773 2.1760
0.0000 0.0000 0.0000
7.9951 4.6160 3.2640
```

***

4.
Ti3AgC | PBEsol | relaxed

Crystal system: cubic
Symmetry: No. 221
Formation energy, meV/atom: -413

Cell and atoms, written as POSCAR:
```
Ti3AgC
1.0
-0.9335 -1.0518 3.9122
-0.7622 -3.8974 -1.2297
3.9788 -0.9934 0.6823
Ti Ag C
3 1 1
Cartesian
1.9894 -0.4967 0.3411
-0.3811 -1.9487 -0.6148
-0.4667 -0.5259 1.9561
1.1415 -2.9713 1.6824
0.0000 0.0000 0.0000
```

***

5.
InMoP3 | PBEsol | relaxed

Crystal system: cubic
Symmetry: No. 221
Formation energy, meV/atom: 1770

Cell and atoms, written as POSCAR:
```
InMoP3
1.0
-1.4776 -3.7817 2.6357
1.5523 -3.0144 -3.4548
4.3404 -0.2093 2.1329
In P Mo
1 3 1
Cartesian
0.0000 0.0000 0.0000
2.1702 -0.1047 1.0664
-0.7388 -1.8909 1.3179
0.7762 -1.5072 -1.7274
2.2076 -3.5027 0.6569
```

***

6.
Ba2AlZn | PBEsol | relaxed

Crystal system: tetragonal
Symmetry: No. 122
Formation energy, meV/atom: 275

Cell and atoms, written as POSCAR:
```
Ba2AlZn
1.0
7.2464 -0.2557 0.0000
-3.7651 6.1968 0.0000
-1.7407 -2.9705 6.3814
Ba Zn Al
4 2 2
Cartesian
-0.2693 -0.8398 2.9984
1.1396 2.3251 3.3830
-2.4836 2.4530 6.1891
5.0946 2.0028 0.1923
0.0000 0.0000 0.0000
-1.8825 3.0984 3.1907
3.6232 -0.1279 3.1907
1.7407 2.9705 0.0000
```

***

7.
GaRhSN2 | PBEsol | relaxed

Crystal system: tetragonal
Symmetry: No. 123
Formation energy without anion corrections, eV per atom: 0.748

Cell and atoms, written as POSCAR:
```
GaRhSN2
1.0
-2.7269 2.3794 -0.9173
-1.3873 -2.5110 -2.3894
-2.9183 -1.9154 3.7073
N Rh Ga S
2 1 1 1
Cartesian
-1.3634 1.1897 -0.4586
-0.6937 -1.2555 -1.1947
0.0000 0.0000 0.0000
-3.5163 -1.0235 0.2004
-1.4592 -0.9577 1.8537
```

***

8.
Mn2CdBiI | PBEsol | relaxed

Crystal system: tetragonal
Symmetry: No. 123
Formation energy without anion corrections, eV per atom: 1.065

Cell and atoms, written as POSCAR:
```
Mn2CdBiI
1.0
5.2127 0.0000 0.0000
0.0000 5.2127 0.0000
0.0000 0.0000 6.2528
Cd Mn I Bi
1 2 1 1
Cartesian
2.6063 2.6063 3.1264
0.0000 2.6063 0.0000
2.6063 0.0000 0.0000
0.0000 0.0000 3.1264
0.0000 0.0000 0.0000
```

***

9.
LaCuRe2 | PBEsol | relaxed

Crystal system: orthorhombic
Symmetry: No. 65
Formation energy, meV/atom: 500

Cell and atoms, written as POSCAR:
```
LaCuRe2
1.0
-2.4678 2.2957 -2.4297
2.6178 -1.9708 -2.5548
-2.9705 -3.5313 -0.3196
Cu Re La
1 2 1
Cartesian
-1.4102 -1.6032 -2.6521
-0.8362 0.9270 -2.4699
0.9863 -0.6020 -2.5147
-1.4852 -1.7656 -0.1598
```

***

10.
TiFeP | PBEsol | relaxed

Crystal system: orthorhombic
Symmetry: No. 62
Formation energy, meV/atom: -1174

Cell and atoms, written as POSCAR:
```
TiFeP
1.0
-1.2165 -3.1605 1.1609
5.1579 -0.9735 2.7543
-2.3971 2.9552 5.5335
P Fe Ti
4 4 4
Cartesian
-1.2451 -0.7543 4.9219
2.7894 -0.4246 4.5268
0.7138 -0.4765 7.7305
0.8306 -0.7023 1.7182
-1.3520 0.0628 7.0341
2.1332 -1.5413 6.3191
2.8964 -1.2416 2.4146
-0.5889 0.3624 3.1296
0.7999 -1.8975 3.9522
0.7445 0.7186 5.4965
-2.1608 1.6077 4.8727
3.7052 -2.7866 4.5760
```

***

11.
MnV2Ru | PBEsol | relaxed

Crystal system: cubic
Symmetry: No. 225
Formation energy, meV/atom: -243

Cell and atoms, written as POSCAR:
```
MnV2Ru
1.0
4.1105 0.0000 0.0000
2.0552 3.5598 0.0000
2.0552 1.1866 3.3562
Mn V Ru
1 2 1
Cartesian
4.1105 2.3732 1.6781
6.1657 3.5598 2.5171
2.0552 1.1866 0.8390
0.0000 0.0000 0.0000
```

***

12.
ReSnTe2I | PBEsol | relaxed

Crystal system: tetragonal
Symmetry: No. 123
Formation energy without anion corrections, eV per atom: 0.625

Cell and atoms, written as POSCAR:
```
ReSnTe2I
1.0
5.1197 0.0000 0.0000
0.0000 5.1197 0.0000
0.0000 0.0000 5.5744
Re Te I Sn
1 2 1 1
Cartesian
0.0000 0.0000 0.0000
2.5599 0.0000 0.0000
0.0000 2.5599 0.0000
0.0000 0.0000 2.7872
2.5599 2.5599 2.7872
```